Arrangement P

Material: Cs2AlPd
Method: DFT, GGA-PBE
State: relaxed

## Properties
- DOS(E_F): 4.4 states/eV/cell
- Crystal system: cubic

```
data_Cs2AlPd
_cell_length_a 6.063
_cell_length_b 6.063
_cell_length_c 6.063
_cell_angle_alpha 60.00
_cell_angle_beta 60.00
_cell_angle_gamma 60.00
_space_group_name_H-M_alt 'P 1'
_space_group_IT_number 1
loop_
_space_group_symop_operation_xyz
'x,y,z'
loop_
_atom_site_label
_atom_site_type_symbol
_atom_site_fract_x
_atom_site_fract_y
_atom_site_fract_z
_atom_site_occupancy
Pd1 Pd 0.500 0.500 0.500 1
Cs1 Cs 0.250 0.250 0.250 1
Al1 Al 0.000 0.000 0.000 1
Cs2 Cs 0.750 0.750 0.750 1
```



Arrangement Q

Material: Cs2AlPd
Method: DFT, GGA-PBE
State: relaxed

## Properties
- DOS(E_F): 4.4 states/eV/cell
- Crystal system: tetragonal

```
data_Cs2AlPd
_cell_length_a 9.739
_cell_length_b 9.739
_cell_length_c 9.739
_cell_angle_alpha 93.59
_cell_angle_beta 93.59
_cell_angle_gamma 151.01
_space_group_name_H-M_alt 'P 1'
_space_group_IT_number 1
loop_
_space_group_symop_operation_xyz
'x,y,z'
loop_
_atom_site_label
_atom_site_type_symbol
_atom_site_fract_x
_atom_site_fract_y
_atom_site_fract_z
_atom_site_occupancy
Cs1 Cs 0.059 0.375 0.184 1
Cs2 Cs 0.625 0.809 0.684 1
Cs3 Cs 0.125 0.941 0.316 1
Cs4 Cs 0.191 0.875 0.816 1
Al1 Al 0.500 0.500 0.000 1
Pd1 Pd 0.000 0.000 0.000 1
Pd2 Pd 0.250 0.750 0.500 1
Al2 Al 0.750 0.250 0.500 1
```



Most stable structure: arrangement Q



Arrangement P

Material: CsZr2AlPd
Method: DFT, GGA-PBE
State: relaxed

## Properties
- DOS(E_F): 3.1 states/eV/cell
- Crystal system: tetragonal

```
data_CsZr2AlPd
_cell_length_a 5.117
_cell_length_b 6.287
_cell_length_c 5.117
_cell_angle_alpha 90.00
_cell_angle_beta 90.00
_cell_angle_gamma 90.00
_space_group_name_H-M_alt 'P 1'
_space_group_IT_number 1
loop_
_space_group_symop_operation_xyz
'x,y,z'
loop_
_atom_site_label
_atom_site_type_symbol
_atom_site_fract_x
_atom_site_fract_y
_atom_site_fract_z
_atom_site_occupancy
Zr1 Zr 0.500 0.000 0.000 1
Cs1 Cs 0.000 0.500 0.000 1
Al1 Al 0.000 0.000 0.000 1
Zr2 Zr 0.000 0.000 0.500 1
Pd1 Pd 0.500 0.500 0.500 1
```



Arrangement Q

Material: CsZr2AlPd
Method: DFT, GGA-PBE
State: relaxed

## Properties
- DOS(E_F): 5.6 states/eV/cell
- Crystal system: tetragonal

```
data_CsZr2AlPd
_cell_length_a 5.286
_cell_length_b 5.003
_cell_length_c 5.286
_cell_angle_alpha 90.00
_cell_angle_beta 90.00
_cell_angle_gamma 90.00
_space_group_name_H-M_alt 'P 1'
_space_group_IT_number 1
loop_
_space_group_symop_operation_xyz
'x,y,z'
loop_
_atom_site_label
_atom_site_type_symbol
_atom_site_fract_x
_atom_site_fract_y
_atom_site_fract_z
_atom_site_occupancy
Al1 Al 0.500 0.500 0.500 1
Pd1 Pd 0.000 0.500 0.000 1
Cs1 Cs 0.000 0.000 0.000 1
Zr1 Zr 0.500 0.000 0.000 1
Zr2 Zr 0.000 0.000 0.500 1
```



Most stable structure: arrangement P



Arrangement P

Material: Cs2AlPt
Method: DFT, GGA-PBE
State: relaxed

## Properties
- DOS(E_F): 3.4 states/eV/cell
- Crystal system: cubic

```
data_Cs2AlPt
_cell_length_a 5.909
_cell_length_b 5.909
_cell_length_c 5.909
_cell_angle_alpha 60.00
_cell_angle_beta 60.00
_cell_angle_gamma 60.00
_space_group_name_H-M_alt 'P 1'
_space_group_IT_number 1
loop_
_space_group_symop_operation_xyz
'x,y,z'
loop_
_atom_site_label
_atom_site_type_symbol
_atom_site_fract_x
_atom_site_fract_y
_atom_site_fract_z
_atom_site_occupancy
Pt1 Pt 0.500 0.500 0.500 1
Cs1 Cs 0.750 0.750 0.750 1
Cs2 Cs 0.250 0.250 0.250 1
Al1 Al 0.000 0.000 0.000 1
```



Arrangement Q

Material: Cs2AlPt
Method: DFT, GGA-PBE
State: relaxed

## Properties
- DOS(E_F): 5.2 states/eV/cell
- Crystal system: tetragonal

```
data_Cs2AlPt
_cell_length_a 13.342
_cell_length_b 13.342
_cell_length_c 9.732
_cell_angle_alpha 46.72
_cell_angle_beta 46.72
_cell_angle_gamma 90.00
_space_group_name_H-M_alt 'P 1'
_space_group_IT_number 1
loop_
_space_group_symop_operation_xyz
'x,y,z'
loop_
_atom_site_label
_atom_site_type_symbol
_atom_site_fract_x
_atom_site_fract_y
_atom_site_fract_z
_atom_site_occupancy
Cs1 Cs 0.804 0.125 0.250 1
Cs2 Cs 0.946 0.625 0.250 1
Cs3 Cs 0.875 0.054 0.750 1
Pt1 Pt 0.000 0.000 0.000 1
Al1 Al 0.250 0.750 0.500 1
Pt2 Pt 0.750 0.250 0.500 1
Cs4 Cs 0.375 0.196 0.750 1
Al2 Al 0.500 0.500 0.000 1
```



Most stable structure: arrangement Q



Arrangement P

Material: CsAl2Ru
Method: DFT, GGA-PBE
State: relaxed

## Properties
- DOS(E_F): 4.9 states/eV/cell
- Crystal system: cubic

```
data_CsAl2Ru
_cell_length_a 4.996
_cell_length_b 4.996
_cell_length_c 4.996
_cell_angle_alpha 60.00
_cell_angle_beta 60.00
_cell_angle_gamma 60.00
_space_group_name_H-M_alt 'P 1'
_space_group_IT_number 1
loop_
_space_group_symop_operation_xyz
'x,y,z'
loop_
_atom_site_label
_atom_site_type_symbol
_atom_site_fract_x
_atom_site_fract_y
_atom_site_fract_z
_atom_site_occupancy
Cs1 Cs 0.500 0.500 0.500 1
Al1 Al 0.250 0.250 0.250 1
Al2 Al 0.750 0.750 0.750 1
Ru1 Ru 0.000 0.000 0.000 1
```



Arrangement Q

Material: CsAl2Ru
Method: DFT, GGA-PBE
State: relaxed

## Properties
- DOS(E_F): 2.8 states/eV/cell
- Crystal system: tetragonal

```
data_CsAl2Ru
_cell_length_a 7.261
_cell_length_b 7.261
_cell_length_c 7.707
_cell_angle_alpha 61.89
_cell_angle_beta 61.89
_cell_angle_gamma 90.00
_space_group_name_H-M_alt 'P 1'
_space_group_IT_number 1
loop_
_space_group_symop_operation_xyz
'x,y,z'
loop_
_atom_site_label
_atom_site_type_symbol
_atom_site_fract_x
_atom_site_fract_y
_atom_site_fract_z
_atom_site_occupancy
Ru1 Ru 0.250 0.750 0.500 1
Cs1 Cs 0.750 0.250 0.500 1
Al1 Al 0.875 0.625 0.750 1
Ru2 Ru 0.500 0.500 0.000 1
Cs2 Cs 0.000 0.000 0.000 1
Al2 Al 0.375 0.125 0.250 1
Al3 Al 0.375 0.625 0.250 1
Al4 Al 0.375 0.625 0.750 1
```



Most stable structure: arrangement Q



Arrangement P

Material: CsAl2S2
Method: DFT, GGA-PBE
State: relaxed

## Properties
- DOS(E_F): 1.7 states/eV/cell
- Crystal system: tetragonal

```
data_CsAl2S2
_cell_length_a 4.835
_cell_length_b 4.835
_cell_length_c 6.070
_cell_angle_alpha 66.53
_cell_angle_beta 66.53
_cell_angle_gamma 90.00
_space_group_name_H-M_alt 'P 1'
_space_group_IT_number 1
loop_
_space_group_symop_operation_xyz
'x,y,z'
loop_
_atom_site_label
_atom_site_type_symbol
_atom_site_fract_x
_atom_site_fract_y
_atom_site_fract_z
_atom_site_occupancy
S1 S 0.750 0.250 0.500 1
Al1 Al 0.657 0.657 0.686 1
Cs1 Cs 0.000 0.000 0.000 1
Al2 Al 0.343 0.343 0.314 1
S2 S 0.250 0.750 0.500 1
```



Arrangement Q

Material: CsAl2S2
Method: DFT, GGA-PBE
State: relaxed

## Properties
- DOS(E_F): 6.9 states/eV/cell
- Crystal system: tetragonal

```
data_CsAl2S2
_cell_length_a 8.903
_cell_length_b 8.903
_cell_length_c 3.409
_cell_angle_alpha 90.00
_cell_angle_beta 90.00
_cell_angle_gamma 90.00
_space_group_name_H-M_alt 'P 1'
_space_group_IT_number 1
loop_
_space_group_symop_operation_xyz
'x,y,z'
loop_
_atom_site_label
_atom_site_type_symbol
_atom_site_fract_x
_atom_site_fract_y
_atom_site_fract_z
_atom_site_occupancy
S1 S 0.382 0.882 0.000 1
S2 S 0.118 0.382 0.000 1
Cs1 Cs 0.000 0.000 0.000 1
Al1 Al 0.894 0.394 0.500 1
Al2 Al 0.394 0.106 0.500 1
Al3 Al 0.106 0.606 0.500 1
Cs2 Cs 0.500 0.500 0.000 1
Al4 Al 0.606 0.894 0.500 1
S3 S 0.618 0.118 0.000 1
S4 S 0.882 0.618 0.000 1
```



Most stable structure: arrangement P



Arrangement P

Material: CsAlSb
Method: DFT, GGA-PBE
State: relaxed

## Properties
- DOS(E_F): 2.0 states/eV/cell
- Crystal system: trigonal

```
data_CsAlSb
_cell_length_a 6.571
_cell_length_b 4.517
_cell_length_c 4.517
_cell_angle_alpha 120.00
_cell_angle_beta 90.00
_cell_angle_gamma 90.00
_space_group_name_H-M_alt 'P 1'
_space_group_IT_number 1
loop_
_space_group_symop_operation_xyz
'x,y,z'
loop_
_atom_site_label
_atom_site_type_symbol
_atom_site_fract_x
_atom_site_fract_y
_atom_site_fract_z
_atom_site_occupancy
Sb1 Sb 0.108 0.000 0.000 1
Al1 Al 0.234 0.333 0.667 1
Cs1 Cs 0.658 0.667 0.333 1
```



Arrangement Q

Material: CsAlSb
Method: DFT, GGA-PBE
State: relaxed

## Properties
- DOS(E_F): 0.0 states/eV/cell
- Crystal system: triclinic

```
data_CsAlSb
_cell_length_a 4.570
_cell_length_b 6.333
_cell_length_c 8.478
_cell_angle_alpha 77.81
_cell_angle_beta 74.47
_cell_angle_gamma 68.86
_space_group_name_H-M_alt 'P 1'
_space_group_IT_number 1
loop_
_space_group_symop_operation_xyz
'x,y,z'
loop_
_atom_site_label
_atom_site_type_symbol
_atom_site_fract_x
_atom_site_fract_y
_atom_site_fract_z
_atom_site_occupancy
Sb1 Sb 0.971 0.685 0.868 1
Cs1 Cs 0.753 0.276 0.712 1
Al1 Al 0.058 0.283 0.098 1
Sb2 Sb 0.409 0.424 0.255 1
Al2 Al 0.322 0.827 0.026 1
Cs2 Cs 0.627 0.834 0.412 1
```



Arrangement R

Material: CsAlSb
Method: DFT, GGA-PBE
State: relaxed

## Properties
- DOS(E_F): 0.0 states/eV/cell
- Crystal system: monoclinic

```
data_CsAlSb
_cell_length_a 4.537
_cell_length_b 6.224
_cell_length_c 8.862
_cell_angle_alpha 80.41
_cell_angle_beta 89.99
_cell_angle_gamma 68.64
_space_group_name_H-M_alt 'P 1'
_space_group_IT_number 1
loop_
_space_group_symop_operation_xyz
'x,y,z'
loop_
_atom_site_label
_atom_site_type_symbol
_atom_site_fract_x
_atom_site_fract_y
_atom_site_fract_z
_atom_site_occupancy
Al1 Al 0.291 0.810 0.017 1
Sb1 Sb 0.853 0.685 0.861 1
Al2 Al 0.061 0.269 0.078 1
Cs1 Cs 0.553 0.286 0.731 1
Cs2 Cs 0.249 0.892 0.450 1
Sb2 Sb 0.503 0.386 0.234 1
```



Most stable structure: arrangement Q